[1]
Y3HO after structural relaxation, computed with PBE-GGA.

Properties
Fermi-level density of states   4.183 states/eV/cell
Relative energy among the computed polymorphs   0.00 eV/f.u.

Unit cell a=4.7204 b=4.7204 c=4.7204 alpha=90.00 beta=90.00 gamma=90.00
Last column: nearest neighbours and their distance in Å.
Space group Pm-3m (No. 221)
Symmetry-distinct sites (fractional):
Y1 0.0000 0.0000 0.5000 [3 per cell]  2 O 2.36
H1 0.5000 0.5000 0.5000 [1 per cell]  12 Y 3.34
O1 0.0000 0.0000 0.0000 [1 per cell]  6 Y 2.36



[2]
Hf2AlAs2 after structural relaxation, computed with PBE-GGA.

Properties
Calculated formation energy   -510 meV per atom
Fermi-level density of states   7.149 states/eV/cell
Relative energy among the computed polymorphs   0.00 eV/f.u.

Unit cell a=7.3441 b=7.3441 c=3.4999 alpha=90.00 beta=90.00 gamma=90.00
Last column: nearest neighbours and their distance in Å.
Space group P4/mbm (No. 127)
Symmetry-distinct sites (fractional):
Hf1 0.1509 0.3491 0.0000 [4 per cell]  6 As 2.74-2.79
Al1 0.0000 0.0000 0.5000 [2 per cell]  4 As 2.81
As1 0.1455 0.6455 0.5000 [4 per cell]  6 Hf 2.74-2.79, 2 Al 2.81, 1 As 3.02



[3]
ScNbGa2O8 after structural relaxation, computed with PBE-GGA.

Properties
Fermi-level density of states   16.681 states/eV/cell
Energy   -7.140 eV per atom

Unit cell a=6.6434 b=6.6434 c=6.5718 alpha=90.00 beta=90.00 gamma=90.00
Last column: nearest neighbours and their distance in Å.
Space group I-4m2 (No. 119)
Symmetry-distinct sites (fractional):
Sc1 0.0000 0.0000 0.0000 [2 per cell]  4 O 2.09
Nb1 0.0000 0.5000 0.7500 [2 per cell]  4 O 2.01
Ga1 0.0000 0.0000 0.5000 [2 per cell]  4 O 1.83
Ga2 0.0000 0.5000 0.2500 [2 per cell]  4 O 1.85
O1 0.0000 0.2048 0.6861 [8 per cell]  1 Ga 1.83, 1 Nb 2.01
O2 0.0000 0.3115 0.0436 [8 per cell]  1 Ga 1.85



no.,size of the total moment (μB per formula unit)
1,0.000
2,0.000
3,2.049